1) ## CoReOF2 (PBE+U)

Data for CoReOF2 after structural relaxation.

Cell lengths 4.238, 4.238, 3.802 Å; angles 90.00, 90.00, 90.00 degrees
Element x y z (fractional)
Co: 0.000 0.000 0.000
Re: 0.500 0.500 0.500
O: 0.500 0.500 0.000
F: 0.000 0.500 0.500
F: 0.500 0.000 0.500

2) ## CoReOF2 (PBE+U)

Data for CoReOF2 after structural relaxation.

Cell lengths 3.807, 3.807, 4.558 Å; angles 90.00, 90.00, 90.00 degrees
Element x y z (fractional)
Co: 0.000 0.000 0.000
Re: 0.500 0.500 0.500
O: 0.000 0.000 0.500
F: 0.000 0.500 0.000
F: 0.500 0.000 0.000

Least stable: 2)

1) ## CoSiOF2 (PBE+U)

Data for CoSiOF2 after structural relaxation.

Cell lengths 4.050, 4.050, 3.788 Å; angles 90.00, 90.00, 90.00 degrees
Element x y z (fractional)
Co: 0.000 0.000 0.000
Si: 0.500 0.500 0.500
O: 0.000 0.000 0.500
F: 0.000 0.500 0.000
F: 0.500 0.000 0.000

2) ## CoSiOF2 (PBE+U)

Data for CoSiOF2 after structural relaxation.

Cell lengths 4.225, 4.225, 3.386 Å; angles 90.00, 90.00, 90.00 degrees
Element x y z (fractional)
Co: 0.000 0.000 0.000
Si: 0.500 0.500 0.500
O: 0.500 0.500 0.000
F: 0.000 0.500 0.500
F: 0.500 0.000 0.500

Least stable: 1)

1) ## CoSnOF2 (PBE+U)

Data for CoSnOF2 after structural relaxation.

Cell lengths 4.156, 4.156, 3.850 Å; angles 90.00, 90.00, 90.00 degrees
Element x y z (fractional)
Co: 0.000 0.000 0.000
Sn: 0.500 0.500 0.500
O: 0.000 0.000 0.500
F: 0.000 0.500 0.000
F: 0.500 0.000 0.000

2) ## CoSnOF2 (PBE+U)

Data for CoSnOF2 after structural relaxation.

Cell lengths 4.453, 4.453, 4.122 Å; angles 90.00, 90.00, 90.00 degrees
Element x y z (fractional)
Co: 0.000 0.000 0.000
Sn: 0.500 0.500 0.500
O: 0.500 0.500 0.000
F: 0.000 0.500 0.500
F: 0.500 0.000 0.500

Least stable: 2)

1) ## CoTcOF2 (PBE+U)

Data for CoTcOF2 after structural relaxation.

Cell lengths 4.257, 4.257, 3.761 Å; angles 90.00, 90.00, 90.00 degrees
Element x y z (fractional)
Co: 0.000 0.000 0.000
Tc: 0.500 0.500 0.500
O: 0.500 0.500 0.000
F: 0.000 0.500 0.500
F: 0.500 0.000 0.500

2) ## CoTcOF2 (PBE+U)

Data for CoTcOF2 after structural relaxation.

Cell lengths 4.083, 4.083, 3.799 Å; angles 90.00, 90.00, 90.00 degrees
Element x y z (fractional)
Co: 0.000 0.000 0.000
Tc: 0.500 0.500 0.500
O: 0.000 0.000 0.500
F: 0.000 0.500 0.000
F: 0.500 0.000 0.000

Least stable: 2)